Computed, not measured: VSn after structural relaxation at the PBE level of DFT.

Results
Formation energy in eV/atom: 0.118
Magnetization in μB per cell: 0.0
Theoretical density in g cm⁻³: 6.3

a = 8.4082 Å, b = 8.4082 Å, c = 4.3560 Å
α = 90.00°, β = 90.00°, γ = 120.00°
Space group P6_3/mmc (No. 194)
One atom of each set of equivalent atoms:
V 0.1029 0.5514 0.2500 (multiplicity 6)
Sn 0.2070 0.4141 0.7500 (multiplicity 6)